First-principles (PBE) data for an optimized crystal structure of Ta2Te6AuI2, as listed in Alexandria via LeMat-Bulk.

## Properties
The calculation puts the calculated total energy at -4.5793 eV per atom. Its density of states at the Fermi level is 7.2 states/eV/f.u. As for the magnetic moment: 0.0000 μB per atom.

a = 6.591 Å, b = 6.591 Å, c = 9.498 Å
α = 100.55°, β = 100.55°, γ = 117.08°
Fractional positions:
1 Ta 0.289 0.711 0.500
2 Ta 0.711 0.289 0.500
3 Te 0.724 0.724 0.647
4 Te 0.139 0.477 0.716
5 Te 0.276 0.276 0.353
6 Te 0.477 0.139 0.716
7 Te 0.861 0.523 0.284
8 Te 0.523 0.861 0.284
9 Au 0.000 0.000 0.500
10 I 0.848 0.152 0.000
11 I 0.152 0.848 0.000